DyHoTm2As4 | PBE | optimized geometry

Output
density = 8.30 Mg/m³
electronic total energy = -6.109 eV/atom
E_form = -1.519 eV per atom
crystal system = monoclinic
SG = P2/m

a b c (Å): 7.076 4.088 7.077
angles (deg): 90.00 109.46 90.00
Atoms (fractional coordinates):
Dy1 0.000 0.000 0.000
Ho1 0.000 0.500 0.500
Tm1 0.500 0.000 0.500
Tm2 0.500 0.500 0.000
As1 0.253 0.000 0.750
As2 0.253 0.500 0.252
As3 0.747 0.000 0.250
As4 0.747 0.500 0.748